Computed, not measured: KPmFeF6 after structural relaxation at the PBE with a Hubbard U level of DFT.

Unit cell a=5.969 b=10.139 c=5.546 alpha=90.00 beta=90.12 gamma=90.00
Space group C2 (No. 5)
Inequivalent atoms, fractional coordinates:
K (0.000, 0.000, 0.000) [2 per cell]
Pm (0.000, 0.667, 0.500) [2 per cell]
Fe (0.000, 0.331, 0.500) [2 per cell]
F (0.132, 0.488, 0.706) [4 per cell]
F (0.175, 0.193, 0.710) [4 per cell]
F (0.198, 0.819, 0.710) [4 per cell]

Computed properties:
**Density of states at the Fermi level**: 0.0 states/eV per cell
**E_tot**: -5.746 eV/atom
**Total moment**: 4.000 μB per formula unit